# 1
DFT (PBE) results for an optimized crystal structure of AcNdTeO2.

Unit cell a=4.1644 b=4.1644 c=7.3021 alpha=106.57 beta=106.57 gamma=90.00
Sites, in units of the cell vectors:
O (0.2546, 0.7546, 0.5092)
O (0.7546, 0.2546, 0.5092)
Ac (0.1569, 0.1569, 0.3138)
Nd (0.8395, 0.8395, 0.6789)
Te (0.4944, 0.4944, 0.9888)

## Properties
calculated density	7.6	Mg/m³
total moment	0.00	Bohr magnetons per cell
E_form (uncorrected)	-14.6	eV/f.u.


# 2
DFT (PBE) results for an optimized crystal structure of AcNd2TiO6.

Unit cell a=5.6484 b=5.5231 c=5.5231 alpha=90.00 beta=90.00 gamma=90.00
Sites, in units of the cell vectors:
O (0.7458, 0.2309, 0.2309)
O (0.7458, 0.7691, 0.2309)
O (0.7458, 0.7691, 0.7691)
O (0.7458, 0.2309, 0.7691)
O (0.1070, 0.5000, 0.5000)
O (0.2780, 0.0000, 0.0000)
Nd (0.9768, 0.0000, 0.5000)
Nd (0.9768, 0.5000, 0.0000)
Ac (0.5244, 0.5000, 0.5000)
Ti (0.6005, 0.0000, 0.0000)

## Properties
calculated density	6.4	Mg/m³
total moment	0.79	Bohr magnetons per cell
E_form (uncorrected)	-30.1	eV/f.u.


# 3
DFT (PBE) results for an optimized crystal structure of Ac3NdTl2O.

Unit cell a=4.9976 b=5.0746 c=9.6499 alpha=105.24 beta=105.01 gamma=90.00
Sites, in units of the cell vectors:
Tl (0.6358, 0.6358, 0.2716)
Tl (0.3642, 0.3642, 0.7284)
Ac (0.0000, 0.5000, 0.0000)
Ac (0.1754, 0.1754, 0.3507)
Ac (0.8246, 0.8246, 0.6493)
O (0.0000, 0.0000, 0.0000)
Nd (0.5000, 0.0000, 0.0000)

## Properties
calculated density	9.1	Mg/m³
total moment	0.00	Bohr magnetons per cell
E_form (uncorrected)	-6.9	eV/f.u.


# 4
DFT (PBE) results for an optimized crystal structure of Ac2Nd4Tl3O2.

Unit cell a=4.9593 b=4.9593 c=13.6062 alpha=100.50 beta=100.50 gamma=90.00
Sites, in units of the cell vectors:
Nd (0.5819, 0.0819, 0.1638)
Nd (0.4181, 0.9181, 0.8362)
Nd (0.0819, 0.5819, 0.1638)
Nd (0.9181, 0.4181, 0.8362)
Tl (0.1702, 0.1702, 0.3404)
Tl (0.8298, 0.8298, 0.6596)
Tl (0.0000, 0.0000, 0.0000)
Ac (0.3041, 0.3041, 0.6083)
Ac (0.6959, 0.6959, 0.3917)
O (0.4009, 0.4009, 0.8019)
O (0.5991, 0.5991, 0.1981)

## Properties
calculated density	8.6	Mg/m³
total moment	0.00	Bohr magnetons per cell
E_form (uncorrected)	-13.3	eV/f.u.


# 5
DFT (PBE) results for an optimized crystal structure of AcNdU2O8.

Unit cell a=6.5893 b=6.5893 c=6.5893 alpha=108.90 beta=108.90 gamma=110.63
Sites, in units of the cell vectors:
O (0.9431, 0.2576, 0.3145)
O (0.2979, 0.1233, 0.8254)
O (0.5275, 0.7021, 0.8254)
O (0.7424, 0.0569, 0.6855)
O (0.9431, 0.6286, 0.6855)
O (0.3714, 0.0569, 0.3145)
O (0.2979, 0.4725, 0.1746)
O (0.8767, 0.7021, 0.1746)
U (0.5000, 0.5000, 0.0000)
U (0.7500, 0.2500, 0.5000)
Nd (0.0000, 0.0000, 0.0000)
Ac (0.2500, 0.7500, 0.5000)

## Properties
calculated density	7.4	Mg/m³
total moment	1.99	Bohr magnetons per cell
E_form (uncorrected)	-36.9	eV/f.u.


- What is the calculated density in the first record?
  7.6 Mg/m³


Repeat the fifth record exactly.
DFT (PBE) results for an optimized crystal structure of AcNdU2O8.

Unit cell a=6.5893 b=6.5893 c=6.5893 alpha=108.90 beta=108.90 gamma=110.63
Sites, in units of the cell vectors:
O (0.9431, 0.2576, 0.3145)
O (0.2979, 0.1233, 0.8254)
O (0.5275, 0.7021, 0.8254)
O (0.7424, 0.0569, 0.6855)
O (0.9431, 0.6286, 0.6855)
O (0.3714, 0.0569, 0.3145)
O (0.2979, 0.4725, 0.1746)
O (0.8767, 0.7021, 0.1746)
U (0.5000, 0.5000, 0.0000)
U (0.7500, 0.2500, 0.5000)
Nd (0.0000, 0.0000, 0.0000)
Ac (0.2500, 0.7500, 0.5000)

## Properties
calculated density	7.4	Mg/m³
total moment	1.99	Bohr magnetons per cell
E_form (uncorrected)	-36.9	eV/f.u.


- Number 1 is which compound?
  AcNdTeO2